Entry 1:
# ThSc2Cu2Si2 PBE relaxed
# total DFT energy (no corrections)	-0.4482	Ry/atom
data_ThSc2Cu2Si2
_cell_length_a 4.1562
_cell_length_b 4.1562
_cell_length_c 26.4958
_cell_angle_alpha 90.00
_cell_angle_beta 90.00
_cell_angle_gamma 120.00
_space_group_name_H-M_alt 'R -3 m'
_space_group_IT_number 166
_space_group_name_Hall '-R 3 2"'
loop_
_atom_site_label
_atom_site_type_symbol
_atom_site_fract_x
_atom_site_fract_y
_atom_site_fract_z
Th1 Th 0.0000 0.0000 0.0000
Sc1 Sc 0.0000 0.0000 0.1319
Cu1 Cu 0.0000 0.0000 0.4112
Si1 Si 0.0000 0.0000 0.2532


Entry 2:
# ThScCu2Si2 PBE relaxed
# total DFT energy (no corrections)	-0.4495	Ry/atom
data_ThScCu2Si2
_cell_length_a 4.1439
_cell_length_b 4.1439
_cell_length_c 7.2266
_cell_angle_alpha 90.00
_cell_angle_beta 90.00
_cell_angle_gamma 120.00
_space_group_name_H-M_alt 'P -3 m 1'
_space_group_IT_number 164
_space_group_name_Hall '-P 3 2"'
loop_
_atom_site_label
_atom_site_type_symbol
_atom_site_fract_x
_atom_site_fract_y
_atom_site_fract_z
Th1 Th 0.0000 0.0000 0.0000
Sc1 Sc 0.0000 0.0000 0.5000
Cu1 Cu 0.3333 0.6667 0.7037
Si1 Si 0.3333 0.6667 0.2756


Entry 3:
# ScTiCuSi PBE relaxed
# total DFT energy (no corrections)	-0.4641	Ry/atom
data_ScTiCuSi
_cell_length_a 6.3313
_cell_length_b 6.3313
_cell_length_c 6.3313
_cell_angle_alpha 90.00
_cell_angle_beta 90.00
_cell_angle_gamma 90.00
_space_group_name_H-M_alt 'F -4 3 m'
_space_group_IT_number 216
_space_group_name_Hall 'F -4 2 3'
loop_
_atom_site_label
_atom_site_type_symbol
_atom_site_fract_x
_atom_site_fract_y
_atom_site_fract_z
Sc1 Sc 0.0000 0.0000 0.0000
Ti1 Ti 0.0000 0.0000 0.5000
Cu1 Cu 0.2500 0.2500 0.2500
Si1 Si 0.2500 0.2500 0.7500


Entry 4:
# ScTl2CuSi PBE relaxed
# total DFT energy (no corrections)	-0.2366	Ry/atom
data_ScTl2CuSi
_cell_length_a 5.6474
_cell_length_b 5.6474
_cell_length_c 5.0647
_cell_angle_alpha 90.00
_cell_angle_beta 90.00
_cell_angle_gamma 90.00
_space_group_name_H-M_alt 'P 4/m m m'
_space_group_IT_number 123
_space_group_name_Hall '-P 4 2'
loop_
_atom_site_label
_atom_site_type_symbol
_atom_site_fract_x
_atom_site_fract_y
_atom_site_fract_z
Sc1 Sc 0.0000 0.0000 0.0000
Tl1 Tl 0.0000 0.5000 0.0000
Cu1 Cu 0.5000 0.5000 0.5000
Si1 Si 0.0000 0.0000 0.5000


Entry 5:
# TmScCu2Si2 PBE relaxed
# total DFT energy (no corrections)	-0.4133	Ry/atom
data_TmScCu2Si2
_cell_length_a 4.1045
_cell_length_b 4.1045
_cell_length_c 6.9727
_cell_angle_alpha 90.00
_cell_angle_beta 90.00
_cell_angle_gamma 120.00
_space_group_name_H-M_alt 'P -3 m 1'
_space_group_IT_number 164
_space_group_name_Hall '-P 3 2"'
loop_
_atom_site_label
_atom_site_type_symbol
_atom_site_fract_x
_atom_site_fract_y
_atom_site_fract_z
Tm1 Tm 0.0000 0.0000 0.0000
Sc1 Sc 0.0000 0.0000 0.5000
Cu1 Cu 0.3333 0.6667 0.7251
Si1 Si 0.3333 0.6667 0.2637


Entry 6:
# TmSc2Cu2Si2 PBE relaxed
# total DFT energy (no corrections)	-0.4175	Ry/atom
data_TmSc2Cu2Si2
_cell_length_a 4.1426
_cell_length_b 4.1426
_cell_length_c 25.3933
_cell_angle_alpha 90.00
_cell_angle_beta 90.00
_cell_angle_gamma 120.00
_space_group_name_H-M_alt 'R -3 m'
_space_group_IT_number 166
_space_group_name_Hall '-R 3 2"'
loop_
_atom_site_label
_atom_site_type_symbol
_atom_site_fract_x
_atom_site_fract_y
_atom_site_fract_z
Tm1 Tm 0.0000 0.0000 0.0000
Sc1 Sc 0.0000 0.0000 0.1304
Cu1 Cu 0.0000 0.0000 0.4065
Si1 Si 0.0000 0.0000 0.2569


Entry 7:
# YScCu2Si2 PBE relaxed
# total DFT energy (no corrections)	-0.4387	Ry/atom
data_YScCu2Si2
_cell_length_a 4.1236
_cell_length_b 4.1236
_cell_length_c 7.0349
_cell_angle_alpha 90.00
_cell_angle_beta 90.00
_cell_angle_gamma 120.00
_space_group_name_H-M_alt 'P -3 m 1'
_space_group_IT_number 164
_space_group_name_Hall '-P 3 2"'
loop_
_atom_site_label
_atom_site_type_symbol
_atom_site_fract_x
_atom_site_fract_y
_atom_site_fract_z
Y1 Y 0.0000 0.0000 0.0000
Sc1 Sc 0.0000 0.0000 0.5000
Cu1 Cu 0.3333 0.6667 0.7144
Si1 Si 0.3333 0.6667 0.2688


Entry 8:
# YScCuSi PBE relaxed
# total DFT energy (no corrections)	-0.4425	Ry/atom
data_YScCuSi
_cell_length_a 6.7709
_cell_length_b 6.7709
_cell_length_c 6.7709
_cell_angle_alpha 90.00
_cell_angle_beta 90.00
_cell_angle_gamma 90.00
_space_group_name_H-M_alt 'F -4 3 m'
_space_group_IT_number 216
_space_group_name_Hall 'F -4 2 3'
loop_
_atom_site_label
_atom_site_type_symbol
_atom_site_fract_x
_atom_site_fract_y
_atom_site_fract_z
Y1 Y 0.0000 0.0000 0.0000
Sc1 Sc 0.0000 0.0000 0.5000
Cu1 Cu 0.2500 0.2500 0.7500
Si1 Si 0.2500 0.2500 0.2500